{"formula": "Nd15Ho2In2", "functional": "GGA-PBE", "state": "relaxed", "lattice_angstrom": [[5.5866, 3.2254, 5.9580], [-5.5866, 3.2254, 5.9580], [0.0000, -6.4509, 5.9580]], "species": ["Nd", "Nd", "Nd", "Nd", "Nd", "Nd", "Nd", "Nd", "Nd", "Nd", "Nd", "Nd", "Nd", "Nd", "Nd", "Ho", "Ho", "In", "In"], "frac_coords": [[0.0000, 0.0000, 0.5000], [0.0000, 0.2917, 0.7083], [0.0000, 0.5000, 0.0000], [0.0000, 0.7083, 0.2917], [0.1603, 0.6209, 0.6209], [0.2917, 0.0000, 0.7083], [0.2917, 0.7083, 0.0000], [0.3791, 0.3791, 0.8397], [0.3791, 0.8397, 0.3791], [0.5000, 0.0000, 0.0000], [0.6209, 0.1603, 0.6209], [0.6209, 0.6209, 0.1603], [0.7083, 0.0000, 0.2917], [0.7083, 0.2917, 0.0000], [0.8397, 0.3791, 0.3791], [0.3073, 0.3073, 0.3073], [0.6927, 0.6927, 0.6927], [0.0948, 0.0948, 0.0948], [0.9052, 0.9052, 0.9052]], "magmom_total_mub_per_fu": 0.0, "space_group": "R-3m (166)", "delta_e_f_ev_per_atom": 0.142, "n_ef_per_ev_cell": 25.790}